DFT (GGA-PBE) results for HfCrAs2 after structural relaxation.

```
data_HfCrAs2
_chemical_formula_sum 'Hf1 Cr1 As2'
_cell_length_a 4.505
_cell_length_b 4.505
_cell_length_c 4.505
_cell_angle_alpha 60.00
_cell_angle_beta 60.00
_cell_angle_gamma 60.00
_space_group_name_H-M_alt 'P 1'
_space_group_IT_number 1
loop_
_space_group_symop_operation_xyz
'x,y,z'
loop_
_atom_site_label
_atom_site_type_symbol
_atom_site_fract_x
_atom_site_fract_y
_atom_site_fract_z
Cr1 Cr 0.000 0.000 0.000
As1 As 0.250 0.250 0.250
As2 As 0.750 0.750 0.750
Hf1 Hf 0.500 0.500 0.500
```

Space group: Fm-3m
Excess energy over the best structure of this formula in the dataset (meV per atom): 252.3
VASP energy (eV per atom): -7.43
DFT formation energy (eV per formula unit): -0.9


DFT (GGA-PBE) results for Ho3Th2Ni2 after structural relaxation.

```
data_Ho3Th2Ni2
_chemical_formula_sum 'Ho3 Th2 Ni2'
_cell_length_a 3.598
_cell_length_b 6.292
_cell_length_c 8.650
_cell_angle_alpha 101.13
_cell_angle_beta 102.00
_cell_angle_gamma 106.62
_space_group_name_H-M_alt 'P 1'
_space_group_IT_number 1
loop_
_space_group_symop_operation_xyz
'x,y,z'
loop_
_atom_site_label
_atom_site_type_symbol
_atom_site_fract_x
_atom_site_fract_y
_atom_site_fract_z
Ho1 Ho 0.500 0.000 0.000
Ho2 Ho 0.183 0.799 0.568
Ho3 Ho 0.817 0.201 0.432
Th1 Th 0.647 0.476 0.819
Th2 Th 0.353 0.524 0.181
Ni1 Ni 0.064 0.894 0.234
Ni2 Ni 0.936 0.106 0.766
```

Space group: C2/m
VASP energy (eV per atom): -5.99
DFT formation energy (eV per formula unit): -1.8